# 1
This record from Alexandria via LeMat-Bulk describes an optimized crystal structure of Ca2TbSm2. The functional is GGA-PBE.

Cell: 3.6734 3.6734 15.4513 Å, 90.03 90.03 59.99°
Last column: nearest neighbours and their distance in Å.
Fractional positions:
Sm 0.3340 0.3340 0.1847  3 Tb 3.55-3.56, 6 Sm 3.67, 3 Ca 3.84-3.85
Sm 0.6660 0.6660 0.8153  3 Tb 3.55-3.56, 6 Sm 3.67, 3 Ca 3.84-3.85
Ca 0.3336 0.3336 0.6077  9 Ca 3.67-3.95, 3 Sm 3.84-3.85
Tb 0.0000 0.0000 0.0000  6 Sm 3.55-3.56, 6 Tb 3.67
Ca 0.6664 0.6664 0.3923  9 Ca 3.67-3.95, 3 Sm 3.84-3.85

Relative energy among the computed polymorphs: 0.000 eV/atom
Energy of formation: 0.05 eV/atom
Calculated total energy: -17.846 eV/cell

***

# 2
This record from Alexandria via LeMat-Bulk describes an optimized crystal structure of CaTb8Sm3. The functional is GGA-PBE.

Cell: 8.5646 8.5646 8.5646 Å, 91.99 118.86 118.86°
Last column: nearest neighbours and their distance in Å.
Fractional positions:
Sm 0.0000 0.5000 0.5000  8 Tb 2.91-3.16
Tb 0.4648 0.7773 0.7773  1 Sm 2.91, 1 Tb 3.18
Sm 0.5000 0.2500 0.7500  4 Tb 3.39
Sm 0.5000 0.7500 0.2500  4 Tb 3.39
Tb 0.5352 0.3126 0.3126  1 Sm 2.91, 1 Tb 3.18
Tb 0.0000 0.6874 0.2227  1 Sm 2.91, 1 Tb 3.18
Tb 0.7256 0.1386 0.1386  3 Sm 3.16-3.39, 3 Tb 3.18-3.41
Tb 0.0000 0.8614 0.5870  3 Sm 3.16-3.39, 3 Tb 3.18-3.41
Tb 0.0000 0.5870 0.8614  3 Sm 3.16-3.39, 3 Tb 3.18-3.41
Tb 0.0000 0.2227 0.6874  1 Sm 2.91, 1 Tb 3.18
Ca 0.0000 0.0000 0.0000  8 Tb 3.34-3.69
Tb 0.2744 0.4130 0.4130  3 Sm 3.16-3.39, 3 Tb 3.18-3.41

Energy of formation: 0.65 eV/atom
Calculated total energy: -45.428 eV/cell

***

# 3
This record from Alexandria via LeMat-Bulk describes an optimized crystal structure of CaTb15Sm4. The functional is GGA-PBE.

Cell: 5.0718 5.0718 25.3896 Å, 90.00 90.00 90.00°
Last column: nearest neighbours and their distance in Å.
Fractional positions:
Tb 0.5000 0.0000 0.5000  4 Sm 3.58, 8 Tb 3.58-3.59
Sm 0.0000 0.0000 0.5995  12 Tb 3.58-3.59
Tb 0.0000 0.5000 0.6988  8 Tb 3.57-3.60, 4 Sm 3.58-3.59
Tb 0.5000 0.5000 0.7995  8 Tb 3.53-3.60, 4 Sm 3.59
Tb 0.0000 0.5000 0.3012  8 Tb 3.57-3.60, 4 Sm 3.58-3.59
Tb 0.5000 0.5000 0.2005  8 Tb 3.53-3.60, 4 Sm 3.59
Sm 0.0000 0.0000 0.4005  12 Tb 3.58-3.59
Tb 0.5000 0.5000 0.4002  8 Tb 3.57-3.58, 4 Sm 3.59
Tb 0.5000 0.0000 0.6988  8 Tb 3.57-3.60, 4 Sm 3.58-3.59
Tb 0.5000 0.5000 0.0000  4 Ca 3.59, 8 Tb 3.65
Sm 0.0000 0.0000 0.2009  12 Tb 3.54-3.59
Tb 0.0000 0.5000 0.5000  4 Sm 3.58, 8 Tb 3.58-3.59
Tb 0.0000 0.5000 0.8965  8 Tb 3.53-3.65, 2 Sm 3.54, 2 Ca 3.65
Sm 0.0000 0.0000 0.7991  12 Tb 3.54-3.59
Tb 0.0000 0.5000 0.1035  8 Tb 3.53-3.65, 2 Sm 3.54, 2 Ca 3.65
Tb 0.5000 0.0000 0.1035  8 Tb 3.53-3.65, 2 Sm 3.54, 2 Ca 3.65
Tb 0.5000 0.0000 0.3012  8 Tb 3.57-3.60, 4 Sm 3.58-3.59
Tb 0.5000 0.5000 0.5998  8 Tb 3.57-3.58, 4 Sm 3.59
Ca 0.0000 0.0000 0.0000  12 Tb 3.59-3.65
Tb 0.5000 0.0000 0.8965  8 Tb 3.53-3.65, 2 Sm 3.54, 2 Ca 3.65

Energy of formation: 0.04 eV/atom
Calculated total energy: -89.626 eV/cell

***

Q: The highest energy of formation belongs to which entry?
A: CaTb8Sm3

***

Copy entry 2 word for word.
This record from Alexandria via LeMat-Bulk describes an optimized crystal structure of CaTb8Sm3. The functional is GGA-PBE.

Cell: 8.5646 8.5646 8.5646 Å, 91.99 118.86 118.86°
Last column: nearest neighbours and their distance in Å.
Fractional positions:
Sm 0.0000 0.5000 0.5000  8 Tb 2.91-3.16
Tb 0.4648 0.7773 0.7773  1 Sm 2.91, 1 Tb 3.18
Sm 0.5000 0.2500 0.7500  4 Tb 3.39
Sm 0.5000 0.7500 0.2500  4 Tb 3.39
Tb 0.5352 0.3126 0.3126  1 Sm 2.91, 1 Tb 3.18
Tb 0.0000 0.6874 0.2227  1 Sm 2.91, 1 Tb 3.18
Tb 0.7256 0.1386 0.1386  3 Sm 3.16-3.39, 3 Tb 3.18-3.41
Tb 0.0000 0.8614 0.5870  3 Sm 3.16-3.39, 3 Tb 3.18-3.41
Tb 0.0000 0.5870 0.8614  3 Sm 3.16-3.39, 3 Tb 3.18-3.41
Tb 0.0000 0.2227 0.6874  1 Sm 2.91, 1 Tb 3.18
Ca 0.0000 0.0000 0.0000  8 Tb 3.34-3.69
Tb 0.2744 0.4130 0.4130  3 Sm 3.16-3.39, 3 Tb 3.18-3.41

Energy of formation: 0.65 eV/atom
Calculated total energy: -45.428 eV/cell

***

Q: Look up the energy of formation of the third one.
A: 0.04 eV/atom